A:
Li2CaMo | GGA-PBEsol | optimized geometry

Calculated values
space group	C2/m, No. 12
crystal system	monoclinic
DOS(E_F)	1.015	states/eV/atom

a b c (Å): 2.675 5.315 5.588
angles (deg): 93.54 90.00 104.58
Fractional positions:
Ca  0.000  0.000  0.500
Li  0.758  0.516  0.797
Li  0.242  0.484  0.203
Mo  0.500  0.000  0.000

B:
Li2CaMo | GGA-PBEsol | optimized geometry

Calculated values
space group	Pmmm, No. 47
crystal system	orthorhombic
DOS(E_F)	0.919	states/eV/atom

a b c (Å): 2.721 4.696 5.973
angles (deg): 90.00 90.00 90.00
Fractional positions:
Ca  0.500  0.500  0.500
Li  0.000  0.000  0.800
Li  0.000  0.000  0.200
Mo  0.500  0.500  0.000

C:
Li2CaMo | GGA-PBEsol | optimized geometry

Calculated values
space group	Pmm2, No. 25
crystal system	orthorhombic
DOS(E_F)	0.853	states/eV/atom

a b c (Å): 2.668 4.709 5.951
angles (deg): 90.00 90.00 90.00
Fractional positions:
Ca  0.500  0.500  0.735
Li  0.000  0.000  0.018
Li  0.500  0.500  0.270
Mo  0.000  0.000  0.478

A is preferred energetically. Next in line: 25 meV/atom higher.

A:
LiCaOs | GGA-PBEsol | optimized geometry

Calculated values
space group	I4mm, No. 107
crystal system	tetragonal
DOS(E_F)	0.997	states/eV/atom

a b c (Å): 2.809 2.809 7.334
angles (deg): 101.04 101.04 90.00
Fractional positions:
Ca  0.980  0.980  0.960
Li  0.693  0.693  0.387
Os  0.327  0.327  0.653

B:
LiCaOs | GGA-PBEsol | optimized geometry

Calculated values
space group	F-43m, No. 216
crystal system	cubic
DOS(E_F)	1.866	states/eV/atom

a b c (Å): 4.567 4.567 4.567
angles (deg): 60.00 60.00 60.00
Fractional positions:
Ca  0.250  0.250  0.250
Li  0.000  0.000  0.000
Os  0.500  0.500  0.500

A is preferred energetically. Next in line: 886 meV/atom higher.